Density functional theory data (PBE-GGA) for a relaxed structure of Cs3ZrAg.

Unit cell a=7.0101 b=7.0101 c=7.0101 alpha=90.00 beta=90.00 gamma=90.00
Sites, in units of the cell vectors:
Cs1 0.0000 0.0000 0.5000
Cs2 0.0000 0.5000 0.0000
Cs3 0.5000 0.0000 0.0000
Zr1 0.5000 0.5000 0.5000
Ag1 0.0000 0.0000 0.0000

Output
- Space-group type: Pm-3m (221)
- Energy above the most stable polymorph in this dataset: 0 meV/atom
- ΔH_f (0 K): 0.94 eV/atom
- Raw total energy: -1.8549 eV/atom
- Calculated density: 2.88 g/cm³